The following is a GGA-PBE calculation of K3AuCl after structural relaxation, from Alexandria.

abc: 4.4099 9.2138 19.3342
angles: 90.00 90.00 90.00
With the nearest neighbours (Å) after each atom.
Fractional coordinates of all 20 atoms:
K1 0.2500 0.3287 0.5586  3 Cl 3.19-3.22, 2 Au 3.51
K2 0.7500 0.9275 0.2189  1 Cl 3.16, 4 Au 3.35-3.47
K3 0.7500 0.4030 0.8828  2 Cl 3.22
K4 0.7500 0.9030 0.6172  2 Cl 3.22
K5 0.7500 0.6713 0.4414  3 Cl 3.19-3.22, 2 Au 3.51
K6 0.2500 0.0970 0.3828  2 Cl 3.22
K7 0.2500 0.8287 0.9414  3 Cl 3.19-3.22, 2 Au 3.51
K8 0.7500 0.4275 0.2811  1 Cl 3.16, 4 Au 3.35-3.47
K9 0.2500 0.5725 0.7189  1 Cl 3.16, 4 Au 3.35-3.47
K10 0.2500 0.0725 0.7811  1 Cl 3.16, 4 Au 3.35-3.47
K11 0.7500 0.1713 0.0586  3 Cl 3.19-3.22, 2 Au 3.51
K12 0.2500 0.5970 0.1172  2 Cl 3.22
Au1 0.7500 0.7851 0.8015  7 K 3.35-3.73
Au2 0.2500 0.2149 0.1985  7 K 3.35-3.73
Au3 0.7500 0.2851 0.6985  7 K 3.35-3.73
Au4 0.2500 0.7149 0.3015  7 K 3.35-3.73
Cl1 0.2500 0.1750 0.9372  6 K 3.16-3.22
Cl2 0.2500 0.6750 0.5628  6 K 3.16-3.22
Cl3 0.7500 0.3250 0.4372  6 K 3.16-3.22
Cl4 0.7500 0.8250 0.0628  6 K 3.16-3.22

## Properties
Energy relative to the elements, uncorrected (eV per atom): -0.86
Relative energy among the computed polymorphs (meV/atom): 0
DFT total energy (eV/atom): -2.539

***

The following is a GGA-PBE calculation of KAuCl3 after structural relaxation, from Alexandria.

abc: 5.7513 5.7513 5.7513
angles: 90.00 90.00 90.00
With the nearest neighbours (Å) after each atom.
Fractional coordinates of all 5 atoms:
K1 0.0000 0.0000 0.0000  6 Cl 2.88
Au1 0.5000 0.5000 0.5000  12 Cl 4.07
Cl1 0.0000 0.5000 0.0000  2 K 2.88
Cl2 0.0000 0.0000 0.5000  2 K 2.88
Cl3 0.5000 0.0000 0.0000  2 K 2.88

## Properties
Energy relative to the elements, uncorrected (eV per atom): 0.07
DFT total energy (eV/atom): -1.913

***

The following is a GGA-PBE calculation of K12Au6Cl after structural relaxation, from Alexandria.

abc: 9.6062 9.6062 9.6062
angles: 99.47 99.47 99.47
With the nearest neighbours (Å) after each atom.
Fractional coordinates of all 19 atoms:
K1 0.8178 0.5706 0.4252  4 Au 3.35-3.55
K2 0.4252 0.8178 0.5706  4 Au 3.35-3.55
K3 0.5706 0.4252 0.8178  4 Au 3.35-3.55
K4 0.1822 0.4294 0.5748  4 Au 3.35-3.55
K5 0.5748 0.1822 0.4294  4 Au 3.35-3.55
K6 0.4294 0.5748 0.1822  4 Au 3.35-3.55
K7 0.0667 0.9597 0.3199  1 Cl 3.14, 2 Au 3.33-3.37
K8 0.0403 0.6801 0.9333  1 Cl 3.14, 2 Au 3.33-3.37
K9 0.6801 0.9333 0.0403  1 Cl 3.14, 2 Au 3.33-3.37
K10 0.9333 0.0403 0.6801  1 Cl 3.14, 2 Au 3.33-3.37
K11 0.9597 0.3199 0.0667  1 Cl 3.14, 2 Au 3.33-3.37
K12 0.3199 0.0667 0.9597  1 Cl 3.14, 2 Au 3.33-3.37
Au1 0.7014 0.8721 0.3736  7 K 3.33-3.61
Au2 0.6264 0.2986 0.1279  7 K 3.33-3.61
Au3 0.1279 0.6264 0.2986  7 K 3.33-3.61
Au4 0.2986 0.1279 0.6264  7 K 3.33-3.61
Au5 0.3736 0.7014 0.8721  7 K 3.33-3.61
Au6 0.8721 0.3736 0.7014  7 K 3.33-3.61
Cl1 0.0000 0.0000 0.0000  6 K 3.14

## Properties
Energy relative to the elements, uncorrected (eV per atom): -0.36
DFT total energy (eV/atom): -2.187

***

The following is a GGA-PBE calculation of K5Au2Cl2 after structural relaxation, from Alexandria.

abc: 4.5993 4.5993 19.5039
angles: 90.00 90.00 120.00
With the nearest neighbours (Å) after each atom.
Fractional coordinates of all 9 atoms:
K1 0.0000 0.0000 0.0000  6 Cl 3.21
K2 0.6667 0.3333 0.8153  3 Cl 3.21, 3 Au 3.41
K3 0.3333 0.6667 0.1847  3 Cl 3.21, 3 Au 3.41
K4 0.6667 0.3333 0.3972  3 Au 3.32
K5 0.3333 0.6667 0.6028  3 Au 3.32
Au1 0.0000 0.0000 0.2946  6 K 3.32-3.41
Au2 0.0000 0.0000 0.7054  6 K 3.32-3.41
Cl1 0.6667 0.3333 0.0923  6 K 3.21
Cl2 0.3333 0.6667 0.9077  6 K 3.21

## Properties
Energy relative to the elements, uncorrected (eV per atom): -0.98
DFT total energy (eV/atom): -2.726

***

The following is a GGA-PBE calculation of K7Au3Cl after structural relaxation, from Alexandria.

abc: 7.8850 7.8850 9.3184
angles: 65.94 65.94 89.43
With the nearest neighbours (Å) after each atom.
Fractional coordinates of all 11 atoms:
K1 0.1360 0.1360 0.1778  1 Cl 3.05, 3 Au 3.32-3.37
K2 0.6035 0.1859 0.2210  3 Au 3.50, 1 Cl 3.53, 2 K 3.85-3.91
K3 0.9475 0.3520 0.7348  1 Cl 3.32, 3 Au 3.45-3.60
K4 0.1859 0.6035 0.2210  3 Au 3.50, 1 Cl 3.53, 2 K 3.85-3.91
K5 0.6023 0.6023 0.4589  3 Au 3.32-3.45, 1 Cl 3.55
K6 0.3520 0.9475 0.7348  1 Cl 3.32, 3 Au 3.45-3.60
K7 0.8279 0.8279 0.8044  1 Cl 3.15, 3 Au 3.29-3.41
Au1 0.8015 0.2249 0.4838  7 K 3.32-3.50
Au2 0.5004 0.5004 0.8858  7 K 3.29-3.60
Au3 0.2249 0.8015 0.4838  7 K 3.32-3.50
Cl1 0.9431 0.9431 0.0439  4 K 3.05-3.32

## Properties
Energy relative to the elements, uncorrected (eV per atom): -0.46
DFT total energy (eV/atom): -2.217

***

The following is a GGA-PBE calculation of K8Au2Cl after structural relaxation, from Alexandria.

abc: 4.5835 9.3233 13.1301
angles: 89.08 100.05 90.00
With the nearest neighbours (Å) after each atom.
Fractional coordinates of all 11 atoms:
K1 0.6188 0.4909 0.2376  2 Au 3.40
K2 0.3767 0.9926 0.7535  1 Cl 3.19, 2 Au 3.38
K3 0.2510 0.2603 0.5020  2 Au 3.50
K4 0.0121 0.7620 0.0243  2 Cl 3.20, 1 Au 3.48
K5 0.7490 0.7397 0.4980  2 Au 3.50
K6 0.6233 0.0074 0.2465  1 Cl 3.19, 2 Au 3.38
K7 0.3812 0.5091 0.7624  2 Au 3.40
K8 0.9879 0.2380 0.9757  2 Cl 3.20, 1 Au 3.48
Au1 0.1466 0.7475 0.2931  7 K 3.38-3.50
Au2 0.8534 0.2525 0.7069  7 K 3.38-3.50
Cl1 0.5000 0.0000 0.0000  6 K 3.19-3.20

## Properties
Energy relative to the elements, uncorrected (eV per atom): -0.45
DFT total energy (eV/atom): -2.017

***

Number 1: DOS at the Fermi energy 6.2 states/eV per cell. Number 2: DOS at the Fermi energy 14.4 states/eV per cell. Number 3: DOS at the Fermi energy 14.4 states/eV per cell. Number 4: DOS at the Fermi energy 1.9 states/eV per cell. Number 5: DOS at the Fermi energy 7.3 states/eV per cell. Number 6: DOS at the Fermi energy 5.6 states/eV per cell.